## SrNiBO4 (PBE+U)

Data for an optimized crystal structure of SrNiBO4.

Size of the total moment, μB/f.u.: 3.0
Fermi-level density of states, states/eV/atom: 0.00
Uncorrected energy, eV per atom: -6.31

Unit cell a=5.121 b=5.121 c=6.673 alpha=90.00 beta=90.00 gamma=119.79
Sites, in units of the cell vectors:
Sr  0.183  0.817  0.750
Sr  0.817  0.183  0.250
Ni  0.500  0.500  0.000
Ni  0.500  0.500  0.500
B  0.155  0.845  0.250
B  0.845  0.155  0.750
O  0.174  0.301  0.750
O  0.280  0.720  0.096
O  0.280  0.720  0.404
O  0.301  0.174  0.250
O  0.699  0.826  0.750
O  0.720  0.280  0.596
O  0.720  0.280  0.904
O  0.826  0.699  0.250